An optimized crystal structure of AlIn12Hg7. Source: the Alexandria database, functional PBE.

Values from the calculation:
Energy relative to the elements   0.047 eV per atom
Symmetry   P1 (1)

Cell and atoms, written as CIF:
```
data_AlIn12Hg7
_chemical_formula_sum 'Al1 In12 Hg7'
_cell_length_a 5.900
_cell_length_b 9.663
_cell_length_c 10.040
_cell_angle_alpha 75.68
_cell_angle_beta 75.33
_cell_angle_gamma 88.08
_symmetry_space_group_name_H-M 'P 1'
_symmetry_Int_Tables_number 1
_symmetry_space_group_name_Hall 'P 1'
loop_
_atom_site_label
_atom_site_type_symbol
_atom_site_fract_x
_atom_site_fract_y
_atom_site_fract_z
Al1 Al 0.000 0.000 0.000
In1 In 0.069 0.183 0.405
In2 In 0.159 0.405 0.594
In3 In 0.160 0.460 0.152
In4 In 0.367 0.746 0.923
In5 In 0.393 0.679 0.638
In6 In 0.491 0.955 0.358
In7 In 0.494 0.048 0.646
In8 In 0.593 0.324 0.366
In9 In 0.620 0.258 0.081
In10 In 0.826 0.600 0.409
In11 In 0.827 0.544 0.851
In12 In 0.918 0.821 0.598
Hg1 Hg 0.016 0.932 0.274
Hg2 Hg 0.156 0.286 0.939
Hg3 Hg 0.368 0.659 0.295
Hg4 Hg 0.498 0.001 0.002
Hg5 Hg 0.617 0.345 0.708
Hg6 Hg 0.829 0.716 0.066
Hg7 Hg 0.969 0.073 0.728
```